Ac4La3Nd | GGA-PBE | optimized geometry

```
data_Ac4La3Nd
_cell_length_a 5.4761
_cell_length_b 10.9464
_cell_length_c 10.8409
_cell_angle_alpha 90.00
_cell_angle_beta 90.00
_cell_angle_gamma 90.00
_space_group_name_H-M_alt 'P m m n'
_space_group_IT_number 59
loop_
_space_group_symop_operation_xyz
'x,y,z'
'-x,-y,-z'
'-x+1/2,-y+1/2,z'
'x+1/2,y+1/2,-z'
'x+1/2,-y,-z'
'-x+1/2,y,z'
'-x,y+1/2,-z'
'x,-y+1/2,z'
loop_
_atom_site_label
_atom_site_fract_x
_atom_site_fract_y
_atom_site_fract_z
Ac1 0.2500 0.9997 0.1350
Ac2 0.2500 0.2500 0.8652
Ac3 0.2500 0.7500 0.8656
La1 0.2500 0.2500 0.3849
La2 0.2500 0.5005 0.6153
Nd1 0.2500 0.7500 0.3831
```

Summary:
Electronic total energy in eV/atom: -4.48
Energy of formation in eV/f.u.: 0.15
Energy relative to the lowest polymorph listed for this composition in eV per atom: 0.000

Ac3La4Nd4 | GGA-PBE | optimized geometry

```
data_Ac3La4Nd4
_cell_length_a 3.7525
_cell_length_b 5.9637
_cell_length_c 19.2202
_cell_angle_alpha 81.08
_cell_angle_beta 84.43
_cell_angle_gamma 90.00
_space_group_name_H-M_alt 'P -1'
_space_group_IT_number 2
_space_group_name_Hall '-P 1'
loop_
_atom_site_label
_atom_site_fract_x
_atom_site_fract_y
_atom_site_fract_z
Ac1 0.0000 0.0000 0.0000
Ac2 0.1367 0.6377 0.7248
La1 0.3193 0.8184 0.3629
La2 0.4538 0.4545 0.0927
Nd1 0.2648 0.2653 0.4697
Nd2 0.4087 0.9090 0.1833
```

Summary:
Electronic total energy in eV/atom: -4.61
Energy of formation in eV/f.u.: 0.35
Energy relative to the lowest polymorph listed for this composition in eV per atom: 0.000

Ac8La6Nd | GGA-PBE | optimized geometry

```
data_Ac8La6Nd
_cell_length_a 10.1674
_cell_length_b 10.1674
_cell_length_c 7.2325
_cell_angle_alpha 90.00
_cell_angle_beta 90.00
_cell_angle_gamma 120.00
_space_group_name_H-M_alt 'P -3'
_space_group_IT_number 147
_space_group_name_Hall '-P 3'
loop_
_atom_site_label
_atom_site_fract_x
_atom_site_fract_y
_atom_site_fract_z
Ac1 0.0333 0.6957 0.3835
Ac2 0.3333 0.6667 0.7227
La1 0.0550 0.3865 0.1023
Nd1 0.0000 0.0000 0.0000
```

Summary:
Electronic total energy in eV/atom: -4.28
Energy of formation in eV/f.u.: 3.05

Ac5La2Nd2 | GGA-PBE | optimized geometry

```
data_Ac5La2Nd2
_cell_length_a 18.0263
_cell_length_b 9.3954
_cell_length_c 8.9274
_cell_angle_alpha 90.00
_cell_angle_beta 90.00
_cell_angle_gamma 90.00
_space_group_name_H-M_alt 'C m c e'
_space_group_IT_number 64
_space_group_name_Hall '-C 2ac 2'
loop_
_atom_site_label
_atom_site_fract_x
_atom_site_fract_y
_atom_site_fract_z
Ac1 0.0000 0.0000 0.0000
Ac2 0.1381 0.1934 0.3128
La1 0.2174 0.0000 0.0000
Nd1 0.0000 0.1228 0.6198
```

Summary:
Electronic total energy in eV/atom: -4.21
Energy of formation in eV/f.u.: 2.08
Energy relative to the lowest polymorph listed for this composition in eV per atom: 0.200

Question: Which formula does entry 4 have?
Answer: Ac5La2Nd2